An optimized crystal structure of TmZnGa. Source: OQMD via LeMat-Bulk, functional GGA-PBE.

Values from the calculation:
Total DFT energy (no corrections) (eV per atom): -3.3142
Magnetization (Bohr magnetons per cell): 0.0

Unit cell a=6.320 b=6.320 c=6.320 alpha=90.00 beta=90.00 gamma=90.00
Space group F-43m (No. 216)
Asymmetric unit:
Tm1 0.000 0.000 0.000 x4
Zn1 0.250 0.250 0.750 x4
Ga1 0.000 0.000 0.500 x4

***

An optimized crystal structure of SrIn3Ag. Source: OQMD via LeMat-Bulk, functional GGA-PBE.

Values from the calculation:
Total DFT energy (no corrections) (eV per atom): -2.8593

Unit cell a=6.607 b=6.560 c=7.128 alpha=90.00 beta=117.59 gamma=90.00
Space group P2_1/m (No. 11)
Asymmetric unit:
Sr1 0.249 0.250 0.498 x2
In1 0.147 0.750 0.293 x2
In2 0.257 0.000 0.000 x4
Ag1 0.362 0.750 0.724 x2

***

An optimized crystal structure of YHoGa5. Source: OQMD via LeMat-Bulk, functional GGA-PBE.

Values from the calculation:
Total DFT energy (no corrections) (eV per atom): -4.1696
Magnetization (Bohr magnetons per cell): 0.0

Unit cell a=4.223 b=4.223 c=8.326 alpha=90.00 beta=90.00 gamma=90.00
Space group P4/mmm (No. 123)
Asymmetric unit:
Y1 0.000 0.000 0.000 x1
Ho1 0.000 0.000 0.500 x1
Ga1 0.000 0.500 0.258 x4
Ga2 0.500 0.500 0.000 x1

***

An optimized crystal structure of Lu2RePb. Source: OQMD via LeMat-Bulk, functional GGA-PBE.

Values from the calculation:
Total DFT energy (no corrections) (eV per atom): -6.0301
Magnetization (Bohr magnetons per cell): 0.3

Unit cell a=7.004 b=7.004 c=7.004 alpha=90.00 beta=90.00 gamma=90.00
Space group F-43m (No. 216)
Asymmetric unit:
Lu1 0.000 0.000 0.000 x4
Lu2 0.250 0.250 0.250 x4
Re1 0.250 0.250 0.750 x4
Pb1 0.000 0.000 0.500 x4

***

An optimized crystal structure of LuTeAsO. Source: OQMD via LeMat-Bulk, functional GGA-PBE.

Values from the calculation:
Excess energy over the best structure of this formula in the dataset (meV/atom): 31.8
Total DFT energy (no corrections) (eV per atom): -5.6060
Magnetization (Bohr magnetons per cell): 0.0

Unit cell a=4.034 b=4.034 c=10.378 alpha=90.00 beta=90.00 gamma=90.00
Space group P4/nmm (No. 129, origin choice 2)
Asymmetric unit:
Lu1 0.250 0.250 0.092 x2
Te1 0.250 0.750 0.500 x2
As1 0.250 0.250 0.735 x2
O1 0.250 0.750 0.000 x2

***

An optimized crystal structure of PrTlO3. Source: OQMD via LeMat-Bulk, functional GGA-PBE.

Values from the calculation:
Total DFT energy (no corrections) (eV per atom): -6.2176
Magnetization (Bohr magnetons per cell): 0.0

Unit cell a=3.881 b=3.881 c=5.380 alpha=90.00 beta=90.00 gamma=90.00
Space group P4mm (No. 99)
Asymmetric unit:
Pr1 0.000 0.000 0.000 x1
Tl1 0.500 0.500 0.551 x1
O1 0.000 0.500 0.750 x2
O2 0.500 0.500 0.159 x1

***

An optimized crystal structure of Li2MgCd. Source: OQMD via LeMat-Bulk, functional GGA-PBE.

Values from the calculation:
Excess energy over the best structure of this formula in the dataset (meV/atom): 118.2
Total DFT energy (no corrections) (eV per atom): -1.6266

Unit cell a=4.6494 b=4.6494 c=8.4170 alpha=90.00 beta=90.00 gamma=120.00
Space group P6_3/mmc (No. 194)
Asymmetric unit:
Li1 0.3333 0.6667 0.0846 x4
Mg1 0.3333 0.6667 0.7500 x2
Cd1 0.0000 0.0000 0.0000 x2

***

An optimized crystal structure of YFeNiGe. Source: OQMD via LeMat-Bulk, functional GGA-PBE.

Values from the calculation:
Excess energy over the best structure of this formula in the dataset (meV/atom): 0.0
Total DFT energy (no corrections) (eV per atom): -6.3958
Magnetization (Bohr magnetons per cell): 4.3

Unit cell a=6.272 b=6.272 c=6.272 alpha=90.00 beta=90.00 gamma=90.00
Space group F-43m (No. 216)
Asymmetric unit:
Y1 0.000 0.000 0.000 x4
Fe1 0.250 0.250 0.750 x4
Ni1 0.250 0.250 0.250 x4
Ge1 0.000 0.000 0.500 x4